Below is a relaxed Re3Pb4 crystal, with properties calculated at the GGA-PBE level.

Properties
Raw total energy in eV/atom: -6.620
Space-group type: P6/mmm
M_tot in μB per atom: 0.000
Energy of formation in eV per atom: 0.834
Density in kg/m3: 14409
Energy above the most stable polymorph in this dataset in meV/atom: 257

Cell: 5.3431 5.3431 6.4670 Å, 90.00 90.00 120.00°
Closest atoms and distances in Å follow each position.
Fractional coordinates of all 7 atoms:
Re 0.5000 0.0000 0.0000  4 Re 2.67
Re 0.0000 0.5000 0.0000  4 Re 2.67
Re 0.5000 0.5000 0.0000  4 Re 2.67
Pb 0.0000 0.0000 0.2416  6 Re 3.09, 2 Pb 3.12-3.34
Pb 0.0000 0.0000 0.7584  6 Re 3.09, 2 Pb 3.12-3.34
Pb 0.3333 0.6667 0.5000  3 Pb 3.08
Pb 0.6667 0.3333 0.5000  3 Pb 3.08